{"formula": "AcCeSn", "functional": "PBE-GGA", "state": "optimized geometry", "lattice_angstrom": [[4.724, 0.000, 0.000], [0.000, 4.724, 0.000], [0.000, 0.000, 9.135]], "species": ["Ce", "Ce", "Ac", "Ac", "Sn", "Sn"], "frac_coords": [[0.500, 0.500, 0.500], [0.000, 0.000, 0.500], [0.500, 0.000, 0.145], [0.000, 0.500, 0.855], [0.500, 0.000, 0.756], [0.000, 0.500, 0.244]], "space_group": "P4/nmm (129)", "formation_energy_ev_per_atom": -0.52, "total_energy_ev_per_cell": -31.2}

=====

{"formula": "MgNbHg2Au", "functional": "PBE-GGA", "state": "optimized geometry", "lattice_angstrom": [[-0.901, 0.876, 5.281], [-0.693, -5.010, 0.713], [5.302, -0.591, 1.003]], "species": ["Hg", "Hg", "Au", "Mg", "Nb"], "frac_coords": [[0.500, 0.000, 0.000], [0.000, 0.000, 0.500], [0.000, 0.500, 0.000], [0.500, 0.500, 0.500], [0.000, 0.000, 0.000]], "space_group": "P4/mmm (123)", "formation_energy_ev_per_atom": 0.75, "total_energy_ev_per_cell": -11.8}

=====

{"formula": "Ac3HfSi7", "functional": "PBE-GGA", "state": "optimized geometry", "lattice_angstrom": [[4.158, 0.000, 0.000], [-2.079, 9.985, 0.000], [0.000, 0.000, 11.979]], "species": ["Ac", "Ac", "Ac", "Ac", "Ac", "Ac", "Si", "Si", "Si", "Si", "Si", "Si", "Si", "Si", "Si", "Si", "Si", "Si", "Si", "Si", "Hf", "Hf"], "frac_coords": [[0.241, 0.482, 0.750], [0.108, 0.216, 0.049], [0.759, 0.518, 0.250], [0.108, 0.216, 0.451], [0.892, 0.784, 0.549], [0.892, 0.784, 0.951], [0.272, 0.545, 0.465], [0.628, 0.255, 0.652], [0.728, 0.455, 0.535], [0.511, 0.023, 0.901], [0.372, 0.745, 0.348], [0.570, 0.139, 0.250], [0.272, 0.545, 0.035], [0.728, 0.455, 0.965], [0.511, 0.023, 0.599], [0.372, 0.745, 0.152], [0.628, 0.255, 0.848], [0.489, 0.977, 0.099], [0.489, 0.977, 0.401], [0.430, 0.861, 0.750], [0.043, 0.086, 0.750], [0.957, 0.914, 0.250]], "space_group": "Cmcm (63)", "total_energy_ev_per_cell": -131.9, "raw_formation_energy_ev_per_atom": -0.52}

=====

{"formula": "RbIn4Hg12", "functional": "PBE-GGA", "state": "optimized geometry", "lattice_angstrom": [[8.922, 0.000, 0.000], [-2.974, 8.412, 0.000], [-2.974, -4.206, 7.285]], "species": ["Hg", "Hg", "Hg", "Hg", "Hg", "Hg", "Hg", "Hg", "Hg", "Hg", "Hg", "Hg", "In", "In", "In", "In", "Rb"], "frac_coords": [[0.354, 0.502, 0.149], [0.502, 0.149, 0.354], [0.498, 0.851, 0.646], [0.149, 0.646, 0.795], [0.646, 0.795, 0.149], [0.354, 0.205, 0.851], [0.795, 0.149, 0.646], [0.851, 0.354, 0.205], [0.149, 0.354, 0.502], [0.205, 0.851, 0.354], [0.851, 0.646, 0.498], [0.646, 0.498, 0.851], [0.000, 0.000, 0.500], [0.500, 0.000, 0.000], [0.000, 0.500, 0.000], [0.500, 0.500, 0.500], [0.000, 0.000, 0.000]], "space_group": "Im-3 (204)", "formation_energy_ev_per_atom": -0.01, "total_energy_ev_per_cell": -15.7}

=====

{"formula": "Mn2AuN", "functional": "PBE-GGA", "state": "optimized geometry", "lattice_angstrom": [[-0.833, 0.911, 2.637], [1.804, -0.266, 2.269], [2.799, 6.161, 0.363]], "species": ["Au", "Mn", "Mn", "N"], "frac_coords": [[0.500, 0.500, 0.500], [0.719, 0.719, 0.842], [0.281, 0.281, 0.158], [0.000, 0.000, 0.000]], "space_group": "R-3m (166)", "total_energy_ev_per_cell": -30.6, "raw_formation_energy_ev_per_atom": -0.16}

=====

{"formula": "Tl2OsAu", "functional": "PBE-GGA", "state": "optimized geometry", "lattice_angstrom": [[10.701, -0.061, -0.036], [10.281, 2.970, -0.036], [10.281, 1.425, 2.606]], "species": ["Tl", "Tl", "Au", "Os"], "frac_coords": [[0.011, 0.011, 0.011], [0.243, 0.243, 0.243], [0.491, 0.491, 0.491], [0.755, 0.755, 0.755]], "space_group": "R3m (160)", "formation_energy_ev_per_atom": 0.74, "total_energy_ev_per_cell": -16.3}

=====

{"formula": "Ag5Te2Se2", "functional": "PBE-GGA", "state": "optimized geometry", "lattice_angstrom": [[4.656, 0.000, 0.000], [-2.328, 8.714, -0.630], [0.000, 0.829, 5.524]], "species": ["Ag", "Ag", "Ag", "Ag", "Ag", "Se", "Se", "Te", "Te"], "frac_coords": [[0.298, 0.597, 0.030], [0.147, 0.294, 0.321], [0.702, 0.403, 0.970], [0.853, 0.706, 0.679], [0.000, 0.000, 0.000], [0.157, 0.313, 0.793], [0.843, 0.687, 0.207], [0.454, 0.907, 0.715], [0.546, 0.093, 0.285]], "space_group": "C2/m (12)", "total_energy_ev_per_cell": -27.4, "raw_formation_energy_ev_per_atom": 0.01}

=====

{"formula": "SiOsBr3", "functional": "PBE-GGA", "state": "optimized geometry", "lattice_angstrom": [[5.053, 0.000, 0.000], [0.000, 5.053, 0.000], [0.000, 0.000, 5.053]], "species": ["Os", "Br", "Br", "Br", "Si"], "frac_coords": [[0.000, 0.000, 0.000], [0.000, 0.000, 0.500], [0.500, 0.000, 0.000], [0.000, 0.500, 0.000], [0.500, 0.500, 0.500]], "space_group": "Pm-3m (221)", "total_energy_ev_per_cell": -17.1, "raw_formation_energy_ev_per_atom": 0.92}

=====

{"formula": "Cs3AsH6", "functional": "PBE-GGA", "state": "optimized geometry", "lattice_angstrom": [[7.455, 0.000, 0.000], [0.000, 7.978, 1.309], [0.000, -0.504, 8.069]], "species": ["Cs", "Cs", "Cs", "Cs", "Cs", "Cs", "H", "H", "H", "H", "H", "H", "H", "H", "H", "H", "H", "H", "As", "As"], "frac_coords": [[0.541, 0.503, 0.497], [0.463, 0.318, 0.038], [0.463, 0.962, 0.682], [0.963, 0.682, 0.962], [0.041, 0.497, 0.503], [0.963, 0.038, 0.318], [0.303, 0.216, 0.403], [0.032, 0.133, 0.681], [0.032, 0.319, 0.867], [0.803, 0.403, 0.216], [0.754, 0.275, 0.725], [0.149, 0.066, 0.934], [0.803, 0.784, 0.597], [0.649, 0.934, 0.066], [0.303, 0.597, 0.784], [0.532, 0.867, 0.319], [0.532, 0.681, 0.133], [0.254, 0.725, 0.275], [0.446, 0.853, 0.147], [0.946, 0.147, 0.853]], "space_group": "Cmc2_1 (36)", "total_energy_ev_per_cell": -55.3}

=====

{"formula": "AlTl2Pb", "functional": "PBE-GGA", "state": "optimized geometry", "lattice_angstrom": [[-2.697, -0.649, -11.160], [-0.493, -3.190, -11.037], [-3.717, -3.719, -10.227]], "species": ["Al", "Pb", "Tl", "Tl"], "frac_coords": [[0.250, 0.250, 0.250], [0.750, 0.750, 0.750], [0.509, 0.509, 0.509], [0.991, 0.991, 0.991]], "space_group": "R-3m (166)", "formation_energy_ev_per_atom": 0.14, "total_energy_ev_per_cell": -11.6}

=====

{"formula": "CoNi3Ir7", "functional": "PBE-GGA", "state": "optimized geometry", "lattice_angstrom": [[4.651, -0.220, -0.281], [-2.427, 5.996, 0.519], [-2.427, -0.950, 5.943]], "species": ["Ir", "Ir", "Ir", "Ir", "Ir", "Ir", "Ir", "Ni", "Ni", "Ni", "Co"], "frac_coords": [[0.640, 0.796, 0.796], [0.325, 0.582, 0.074], [0.000, 0.500, 0.500], [0.675, 0.926, 0.418], [0.675, 0.418, 0.926], [0.360, 0.204, 0.204], [0.325, 0.074, 0.582], [0.500, 0.000, 0.000], [0.000, 0.787, 0.213], [0.000, 0.213, 0.787], [0.500, 0.500, 0.500]], "space_group": "C2/m (12)", "formation_energy_ev_per_atom": 0.46, "total_energy_ev_per_cell": -81.4}

=====

{"formula": "CsMgPaSe4", "functional": "PBE-GGA", "state": "optimized geometry", "lattice_angstrom": [[0.427, 4.215, -5.596], [-6.445, -2.283, -2.211], [-4.415, 3.257, 9.509]], "species": ["Se", "Se", "Se", "Se", "Se", "Se", "Se", "Se", "Pa", "Pa", "Mg", "Mg", "Cs", "Cs"], "frac_coords": [[0.085, 0.995, 0.685], [0.085, 0.505, 0.685], [0.555, 0.750, 0.596], [0.445, 0.250, 0.404], [0.915, 0.495, 0.315], [0.915, 0.005, 0.315], [0.367, 0.750, 0.189], [0.633, 0.250, 0.811], [0.225, 0.250, 0.547], [0.775, 0.750, 0.453], [0.202, 0.750, 0.346], [0.798, 0.250, 0.654], [0.645, 0.750, 0.942], [0.355, 0.250, 0.058]], "space_group": "P2_1/m (11)", "total_energy_ev_per_cell": -69.8, "raw_formation_energy_ev_per_atom": -1.29}